# 1
VASP calculation (PBE) on crystalline La2Zn6NiPt at its relaxed geometry.

Lattice parameters (Å, degrees): 6.6747 6.6751 6.6843 59.93 59.93 90.00
Closest atoms and distances in Å follow each position.
Atoms (fractional coordinates):
La (0.7500, 0.2502, 0.4998)  12 Zn 3.33-3.34
La (0.2500, 0.7498, 0.5002)  12 Zn 3.33-3.34
Zn (0.2414, 0.2414, 0.5167)  1 Ni 2.28, 1 Pt 2.44
Zn (0.7585, 0.7586, 0.9996)  1 Ni 2.28, 1 Pt 2.44
Zn (0.2418, 0.7585, 0.0000)  1 Ni 2.28, 1 Pt 2.44
Zn (0.7582, 0.2415, 0.0000)  1 Ni 2.28, 1 Pt 2.44
Zn (0.2415, 0.2414, 0.0004)  1 Ni 2.28, 1 Pt 2.44
Zn (0.7586, 0.7586, 0.4833)  1 Ni 2.28, 1 Pt 2.44
Ni (0.0000, 0.0000, 0.0000)  6 Zn 2.28
Pt (0.5000, 0.5000, 0.0000)  6 Zn 2.44

Output
size of the total moment	0.0	μB/f.u.
calculated density	7.30	Mg/m³
SG	Immm
calculated volume	210.12	Å³ per cell
ΔE_f	-3.4	eV/f.u.

=====

# 2
VASP calculation (PBE) on crystalline NpPbIO6 at its relaxed geometry.

Lattice parameters (Å, degrees): 5.7576 5.7576 10.5128 90.00 90.00 120.00
Closest atoms and distances in Å follow each position.
Atoms (fractional coordinates):
Np (0.6667, 0.3333, 0.2500)  6 O 2.16
Np (0.3333, 0.6667, 0.7500)  6 O 2.16
Pb (0.0000, 0.0000, 0.0000)  6 O 2.61
Pb (0.0000, 0.0000, 0.5000)  6 O 2.61
I (0.3333, 0.6667, 0.2500)  6 O 2.12
I (0.6667, 0.3333, 0.7500)  6 O 2.12
O (0.6290, 0.6343, 0.1440)  1 I 2.12, 1 Np 2.16
O (0.0053, 0.3710, 0.1440)  1 I 2.12, 1 Np 2.16
O (0.3710, 0.0053, 0.6440)  1 I 2.12, 1 Np 2.16
O (0.9947, 0.6290, 0.8560)  1 I 2.12, 1 Np 2.16
O (0.3657, 0.3710, 0.3560)  1 I 2.12, 1 Np 2.16
O (0.0053, 0.6343, 0.3560)  1 I 2.12, 1 Np 2.16
O (0.6343, 0.0053, 0.8560)  1 I 2.12, 1 Np 2.16
O (0.6290, 0.9947, 0.3560)  1 I 2.12, 1 Np 2.16
O (0.9947, 0.3657, 0.6440)  1 I 2.12, 1 Np 2.16
O (0.3657, 0.9947, 0.1440)  1 I 2.12, 1 Np 2.16
O (0.6343, 0.6290, 0.6440)  1 I 2.12, 1 Np 2.16
O (0.3710, 0.3657, 0.8560)  1 I 2.12, 1 Np 2.16

Output
size of the total moment	2.0	μB/f.u.
calculated density	7.34	Mg/m³
SG	P-31c
calculated volume	301.81	Å³ per cell
energy relative to the elements, uncorrected	-1.440	eV per atom

=====

Look up the size of the total moment of the second one.
2.0 μB/f.u.

=====

The highest calculated volume belongs to which entry?
NpPbIO6